Entry 1:
ScFeSiPd: optimized geometry, GGA-PBE.

Summary:
- total energy (eV per formula unit) = -26.60
- energy relative to the lowest polymorph listed for this composition (meV per atom) = 177.9
- space-group type = F-43m (216)

Cell lengths 4.4155, 4.4155, 4.4155 Å; angles 60.00, 60.00, 60.00 degrees
Element x y z (fractional)
Pd  0.5000  0.5000  0.5000
Sc  0.2500  0.2500  0.2500
Fe  0.7500  0.7500  0.7500
Si  0.0000  0.0000  0.0000

=====

Entry 2:
TcAgB: optimized geometry, GGA-PBE.

Summary:
- total energy (eV per formula unit) = -15.59
- energy relative to the lowest polymorph listed for this composition (meV per atom) = 0.0
- space-group type = F-43m (216)

Cell lengths 4.0607, 4.0607, 4.0607 Å; angles 60.00, 60.00, 60.00 degrees
Last column: magnetic moment on the atom in μB.
Element x y z (fractional)
B  0.5000  0.5000  0.5000  -0.07
Ag  0.0000  0.0000  0.0000  0.05
Tc  0.7500  0.7500  0.7500  1.06

=====

Entry 3:
HfCoPd: optimized geometry, GGA-PBE.

Summary:
- total energy (eV per formula unit) = -22.02
- space-group type = F-43m (216)

Cell lengths 4.2472, 4.2472, 4.2472 Å; angles 60.00, 60.00, 60.00 degrees
Element x y z (fractional)
Hf  0.0000  0.0000  0.0000
Co  0.2500  0.2500  0.2500
Pd  0.7500  0.7500  0.7500

=====

Entry 4:
Tb3S2NO: optimized geometry, GGA-PBE.

Summary:
- total energy (eV per formula unit) = -52.12
- space-group type = C2/m (12)

Cell lengths 7.8272, 7.8272, 9.5499 Å; angles 99.04, 99.04, 28.37 degrees
Element x y z (fractional)
Tb  0.3884  0.3884  0.0548
Tb  0.6116  0.6116  0.9452
Tb  0.9487  0.9487  0.7351
Tb  0.8016  0.8016  0.3290
Tb  0.1984  0.1984  0.6710
Tb  0.0513  0.0513  0.2649
O  0.4609  0.4609  0.8602
O  0.5391  0.5391  0.1398
S  0.2144  0.2144  0.1521
S  0.3657  0.3657  0.5287
S  0.6343  0.6343  0.4713
S  0.7856  0.7856  0.8479
N  0.0963  0.0963  0.8057
N  0.9037  0.9037  0.1943

=====

Entry 5:
CdPtSeO: optimized geometry, GGA-PBE.

Summary:
- total energy (eV per formula unit) = -15.59
- energy relative to the lowest polymorph listed for this composition (meV per atom) = 321.1
- space-group type = P4/nmm (129)

Cell lengths 3.9987, 3.9987, 8.5446 Å; angles 90.00, 90.00, 90.00 degrees
Element x y z (fractional)
Cd  0.2500  0.7500  0.0000
Cd  0.7500  0.2500  0.0000
Se  0.7500  0.7500  0.6864
Se  0.2500  0.2500  0.3136
O  0.7500  0.7500  0.4872
O  0.2500  0.2500  0.5128
Pt  0.7500  0.7500  0.2379
Pt  0.2500  0.2500  0.7621

=====

Entry 6:
TaCoNiPb: optimized geometry, GGA-PBE.

Summary:
- total energy (eV per formula unit) = -26.27
- energy relative to the lowest polymorph listed for this composition (meV per atom) = 306.4
- space-group type = F-43m (216)

Cell lengths 4.4632, 4.4632, 4.4632 Å; angles 60.00, 60.00, 60.00 degrees
Last column: magnetic moment on the atom in μB.
Element x y z (fractional)
Ta  0.2500  0.2500  0.2500  0.04
Pb  0.0000  0.0000  0.0000  0.01
Co  0.7500  0.7500  0.7500  -0.62
Ni  0.5000  0.5000  0.5000  0.06

=====

Entry 7:
ThB: optimized geometry, GGA-PBE.

Summary:
- total energy (eV per formula unit) = -13.05
- energy relative to the lowest polymorph listed for this composition (meV per atom) = 433.3
- space-group type = F-43m (216)

Cell lengths 4.1523, 4.1523, 4.1523 Å; angles 60.00, 60.00, 60.00 degrees
Element x y z (fractional)
Th  0.2500  0.2500  0.2500
B  0.0000  0.0000  0.0000

=====

Entry 8:
TlInAu: optimized geometry, GGA-PBE.

Summary:
- total energy (eV per formula unit) = -8.78
- energy relative to the lowest polymorph listed for this composition (meV per atom) = 0.0
- space-group type = P4/nmm (129)

Cell lengths 4.8086, 4.8086, 6.7987 Å; angles 90.00, 90.00, 90.00 degrees
Element x y z (fractional)
Au  0.0000  0.5000  0.2736
Au  0.5000  0.0000  0.7264
Tl  0.0000  0.0000  0.0000
Tl  0.5000  0.5000  0.0000
In  0.0000  0.0000  0.5000
In  0.5000  0.5000  0.5000

=====

- The lowest total energy belongs to which entry?
  Tb3S2NO

=====

- Look up the total energy of the eighth one.
  -8.78 eV per formula unit

=====

Please write out number 5 again, unchanged.
CdPtSeO: optimized geometry, GGA-PBE.

Summary:
- total energy (eV per formula unit) = -15.59
- energy relative to the lowest polymorph listed for this composition (meV per atom) = 321.1
- space-group type = P4/nmm (129)

Cell lengths 3.9987, 3.9987, 8.5446 Å; angles 90.00, 90.00, 90.00 degrees
Element x y z (fractional)
Cd  0.2500  0.7500  0.0000
Cd  0.7500  0.2500  0.0000
Se  0.7500  0.7500  0.6864
Se  0.2500  0.2500  0.3136
O  0.7500  0.7500  0.4872
O  0.2500  0.2500  0.5128
Pt  0.7500  0.7500  0.2379
Pt  0.2500  0.2500  0.7621

=====

- Number 4 is which compound?
  Tb3S2NO